Run a
Compound: Sc4Sn3
Source: the Alexandria database
Functional: GGA-PBE
Structure: relaxed

Properties
V = 329.59 Å³/cell

Cell: 3.938 3.938 21.252 Å, 90.00 90.00 90.00°
Space group I4/mmm (No. 139)
One atom of each set of equivalent atoms:
Sc: 0.000 0.000 0.072 x4
Sc: 0.000 0.000 0.352 x4
Sn: 0.000 0.000 0.209 x4
Sn: 0.000 0.000 0.500 x2

***

Run b
Compound: Sc4Sn3
Source: the Alexandria database
Functional: GGA-PBE
Structure: relaxed

Properties
V = 670.73 Å³/cell

Cell: 8.753 8.753 8.753 Å, 90.00 90.00 90.00°
Space group I-43d (No. 220)
One atom of each set of equivalent atoms:
Sc: 0.074 0.426 0.574 x16
Sn: 0.000 0.250 0.875 x12

***

Name the most stable of them. run b.

***

Run a
Compound: SrSc2Sn2
Source: the Alexandria database
Functional: GGA-PBE
Structure: relaxed

Properties
V = 315.82 Å³/cell

Cell: 5.478 5.478 10.523 Å, 90.00 90.00 90.00°
Space group I4/mmm (No. 139)
One atom of each set of equivalent atoms:
Sr: 0.000 0.000 0.000 x2
Sc: 0.000 0.000 0.335 x4
Sn: 0.000 0.500 0.250 x4

***

Run b
Compound: SrSc2Sn2
Source: the Alexandria database
Functional: GGA-PBE
Structure: relaxed

Properties
V = 294.83 Å³/cell

Cell: 4.767 4.767 12.977 Å, 90.00 90.00 90.00°
Space group I4/mmm (No. 139)
One atom of each set of equivalent atoms:
Sr: 0.000 0.000 0.000 x2
Sc: 0.000 0.500 0.250 x4
Sn: 0.000 0.000 0.384 x4

***

Name the most stable of them. run b.

***

Run a
Compound: SrSc2Sn2
Source: the Alexandria database
Functional: GGA-PBE
Structure: relaxed

Properties
V = 260.91 Å³/cell

Cell: 8.842 8.842 3.337 Å, 90.00 90.00 90.00°
Space group P4/mbm (No. 127)
One atom of each set of equivalent atoms:
Sr: 0.000 0.000 0.000 x2
Sc: 0.123 0.377 0.000 x4
Sn: 0.171 0.671 0.500 x4

***

Run b
Compound: SrSc2Sn2
Source: the Alexandria database
Functional: GGA-PBE
Structure: relaxed

Properties
V = 270.35 Å³/cell

Cell: 8.836 8.836 3.463 Å, 90.00 90.00 90.00°
Space group P4/mbm (No. 127)
One atom of each set of equivalent atoms:
Sr: 0.000 0.000 0.000 x2
Sc: 0.132 0.368 0.500 x4
Sn: 0.162 0.662 0.000 x4

***

Name the most stable of them. run a.

***

Run a
Compound: SrSc3Sn
Source: the Alexandria database
Functional: GGA-PBE
Structure: relaxed

Properties
V = 170.02 Å³/cell

Cell: 5.540 5.540 5.540 Å, 90.00 90.00 90.00°
Space group Pm-3m (No. 221)
One atom of each set of equivalent atoms:
Sr: 0.000 0.000 0.000 x1
Sc: 0.000 0.500 0.500 x3
Sn: 0.500 0.500 0.500 x1

***

Run b
Compound: SrSc3Sn
Source: the Alexandria database
Functional: GGA-PBE
Structure: relaxed

Properties
V = 139.94 Å³/cell

Cell: 5.192 5.192 5.192 Å, 90.00 90.00 90.00°
Space group Pm-3m (No. 221)
One atom of each set of equivalent atoms:
Sr: 0.000 0.000 0.000 x1
Sc: 0.000 0.000 0.500 x3
Sn: 0.500 0.500 0.500 x1

***

Name the most stable of them. run a.

***

Run a
Compound: ScTa3Sn
Source: the Alexandria database
Functional: GGA-PBE
Structure: relaxed

Properties
V = 127.91 Å³/cell

Cell: 5.039 5.039 5.039 Å, 90.00 90.00 90.00°
Space group Pm-3m (No. 221)
One atom of each set of equivalent atoms:
Sc: 0.000 0.000 0.000 x1
Ta: 0.000 0.500 0.500 x3
Sn: 0.500 0.500 0.500 x1

***

Run b
Compound: ScTa3Sn
Source: the Alexandria database
Functional: GGA-PBE
Structure: relaxed

Properties
V = 108.92 Å³/cell

Cell: 4.776 4.776 4.776 Å, 90.00 90.00 90.00°
Space group Pm-3m (No. 221)
One atom of each set of equivalent atoms:
Sc: 0.000 0.000 0.000 x1
Ta: 0.000 0.000 0.500 x3
Sn: 0.500 0.500 0.500 x1

***

Name the most stable of them. run a.

***

Run a
Compound: Sc2TaSn2
Source: the Alexandria database
Functional: GGA-PBE
Structure: relaxed

Properties
V = 245.07 Å³/cell

Cell: 3.988 3.988 15.412 Å, 90.00 90.00 90.00°
Space group I4/mmm (No. 139)
One atom of each set of equivalent atoms:
Sc: 0.000 0.000 0.094 x4
Ta: 0.000 0.000 0.500 x2
Sn: 0.000 0.500 0.250 x4

***

Run b
Compound: Sc2TaSn2
Source: the Alexandria database
Functional: GGA-PBE
Structure: relaxed

Properties
V = 221.21 Å³/cell

Cell: 8.295 8.295 3.215 Å, 90.00 90.00 90.00°
Space group P4/mbm (No. 127)
One atom of each set of equivalent atoms:
Sc: 0.125 0.375 0.000 x4
Ta: 0.000 0.000 0.000 x2
Sn: 0.177 0.677 0.500 x4

***

Name the most stable of them. run b.